Tl3VBr: relaxed, GGA-PBE.

Total energy (eV for the cell shown): -14.2
Spin magnetization (μB/atom): 0.832
Distance to the lowest polymorph of the same formula (meV per atom): 558
Formation energy without anion corrections (meV per atom): 746

Cell and atoms, written as CIF:
```
data_Tl3VBr
_symmetry_space_group_name_H-M 'P 1'
_symmetry_Int_Tables_number 1
_symmetry_space_group_name_Hall 'P 1'
_cell_length_a 5.9902
_cell_length_b 5.9902
_cell_length_c 5.9902
_cell_angle_alpha 90.00
_cell_angle_beta 90.00
_cell_angle_gamma 90.00
loop_
_atom_site_label
_atom_site_type_symbol
_atom_site_fract_x
_atom_site_fract_y
_atom_site_fract_z
Tl1 Tl 0.0000 0.0000 0.5000
Tl2 Tl 0.0000 0.5000 0.0000
Tl3 Tl 0.5000 0.0000 0.0000
V1 V 0.5000 0.5000 0.5000
Br1 Br 0.0000 0.0000 0.0000
```